This record from the Alexandria database describes a relaxed ScCrIr4 crystal. The functional is GGA-PBE.

Cell: 5.197 5.197 5.197 Å, 60.00 60.00 60.00°
Atoms (fractional coordinates):
Sc (0.250, 0.250, 0.250)
Cr (0.000, 0.000, 0.000)
Ir (0.625, 0.625, 0.124)
Ir (0.625, 0.124, 0.625)
Ir (0.625, 0.625, 0.625)
Ir (0.124, 0.625, 0.625)

Output
Energy relative to the elements in meV per atom: -206